(1)
VASP calculation (SCAN) on a PBEsol-optimized structure of Ca2SbCl.

POSCAR file:
```
Ca2SbCl
1.0
4.415 0.000 0.000
0.000 5.943 0.000
0.000 0.000 4.389
Ca Sb Cl
2 1 1
Direct
0.000 0.000 0.000 Ca
0.500 0.500 0.431 Ca
0.000 0.500 0.925 Sb
0.500 0.000 0.421 Cl
```

Properties
Raw formation energy in kJ/mol of atoms: -157
ρ in g/cm3: 3.4
Total magnetization in Bohr magnetons per cell: 0.0
SG: Pmm2, No. 25

---

(2)
VASP calculation (SCAN) on a PBEsol-optimized structure of NaCu3F7.

POSCAR file:
```
NaCu3F7
1.0
6.048 -3.615 0.000
6.048 3.615 0.000
-3.545 0.000 5.883
Na Cu F
2 6 14
Direct
0.000 0.000 0.000 Na
0.000 0.000 0.500 Na
0.000 0.500 0.000 Cu
0.000 0.500 0.500 Cu
0.500 0.000 0.000 Cu
0.500 0.000 0.500 Cu
0.500 0.500 0.000 Cu
0.500 0.500 0.500 Cu
0.128 0.187 0.398 F
0.133 0.528 0.321 F
0.187 0.128 0.898 F
0.197 0.614 0.999 F
0.386 0.803 0.501 F
0.388 0.612 0.750 F
0.472 0.867 0.179 F
0.528 0.133 0.821 F
0.612 0.388 0.250 F
0.614 0.197 0.499 F
0.803 0.386 0.001 F
0.813 0.872 0.102 F
0.867 0.472 0.679 F
0.872 0.813 0.602 F
```

Properties
Raw formation energy in kJ/mol of atoms: -196
ρ in g/cm3: 4.5
Total magnetization in Bohr magnetons per cell: 6.0
SG: C2/c, No. 15

---

(3)
VASP calculation (SCAN) on a PBEsol-optimized structure of TiTeAs2Se.

POSCAR file:
```
TiTeAs2Se
1.0
5.168 0.000 0.000
0.000 5.168 0.000
0.000 0.000 5.158
Ti Te As Se
1 1 2 1
Direct
0.000 0.000 0.000 Ti
0.500 0.500 0.500 Te
0.000 0.500 0.500 As
0.500 0.000 0.500 As
0.500 0.500 0.000 Se
```

Properties
Raw formation energy in kJ/mol of atoms: 85
DOS(E_F) in states/eV per atom: 0.653
ρ in g/cm3: 4.9
Total magnetization in Bohr magnetons per cell: 1.1
SG: P4/mmm, No. 123

---

(4)
VASP calculation (SCAN) on a PBEsol-optimized structure of Rb2ZnSb.

POSCAR file:
```
Rb2ZnSb
1.0
-2.488 2.488 11.775
2.488 -2.488 11.775
2.488 2.488 -11.775
Rb Zn Sb
4 2 2
Direct
0.108 0.625 0.983 Rb
0.375 0.358 0.483 Rb
0.642 0.125 0.017 Rb
0.875 0.892 0.517 Rb
0.000 0.000 0.000 Zn
0.750 0.250 0.500 Zn
0.250 0.750 0.500 Sb
0.500 0.500 0.000 Sb
```

Properties
Raw formation energy in kJ/mol of atoms: 23
DOS(E_F) in states/eV per atom: 0.252
ρ in g/cm3: 4.1
Total magnetization in Bohr magnetons per cell: 0.0
SG: I-42d, No. 122

---

(5)
VASP calculation (SCAN) on a PBEsol-optimized structure of ZrTaCu2.

POSCAR file:
```
ZrTaCu2
1.0
-1.919 1.919 4.207
1.919 -1.919 4.207
1.919 1.919 -4.207
Zr Ta Cu
1 1 2
Direct
0.000 0.000 0.000 Zr
0.250 0.750 0.500 Ta
0.500 0.500 0.000 Cu
0.750 0.250 0.500 Cu
```

Properties
DOS(E_F) in states/eV per atom: 0.975
ρ in g/cm3: 10.7
Total magnetization in Bohr magnetons per cell: 0.0
Formation enthalpy at 0 K in eV per atom: 0.1542
SG: I-4m2, No. 119

---

(6)
VASP calculation (SCAN) on a PBEsol-optimized structure of ReTc4P.

POSCAR file:
```
ReTc4P
1.0
0.000 3.528 3.528
3.528 0.000 3.528
3.528 3.528 0.000
Re Tc P
1 4 1
Direct
0.000 0.000 0.000 Re
0.376 0.376 0.376 Tc
0.376 0.376 0.872 Tc
0.376 0.872 0.376 Tc
0.872 0.376 0.376 Tc
0.750 0.750 0.750 P
```

Properties
DOS(E_F) in states/eV per atom: 0.827
ρ in g/cm3: 11.5
Total magnetization in Bohr magnetons per cell: 0.0
Formation enthalpy at 0 K in eV per atom: 0.7094
SG: F-43m, No. 216

---

(7)
VASP calculation (SCAN) on a PBEsol-optimized structure of ZrIn2W.

POSCAR file:
```
ZrIn2W
1.0
2.919 0.000 0.000
0.000 4.618 0.000
-1.198 0.000 5.734
Zr In W
1 2 1
Direct
0.000 0.000 0.000 Zr
0.443 0.500 0.741 In
0.557 0.500 0.259 In
0.000 0.000 0.500 W
```

Properties
DOS(E_F) in states/eV per atom: 0.490
ρ in g/cm3: 10.8
Total magnetization in Bohr magnetons per cell: 0.0
Formation enthalpy at 0 K in eV per atom: 0.1423
SG: P2/m, No. 10

---

(8)
VASP calculation (SCAN) on a PBEsol-optimized structure of Fe2HgCl.

POSCAR file:
```
Fe2HgCl
1.0
-1.840 1.840 4.835
1.840 -1.840 4.835
1.840 1.840 -4.835
Fe Hg Cl
2 1 1
Direct
0.000 0.000 0.000 Fe
0.750 0.250 0.500 Fe
0.500 0.500 0.000 Hg
0.250 0.750 0.500 Cl
```

Properties
Raw formation energy in kJ/mol of atoms: 47
DOS(E_F) in states/eV per atom: 0.606
ρ in g/cm3: 8.8
Total magnetization in Bohr magnetons per cell: 6.2
SG: I-4m2, No. 119

---

(9)
VASP calculation (SCAN) on a PBEsol-optimized structure of RbMoF3.

POSCAR file:
```
RbMoF3
1.0
4.794 0.000 0.000
0.000 4.794 0.000
0.000 0.000 4.794
Rb Mo F
1 1 3
Direct
0.000 0.000 0.000 Rb
0.500 0.500 0.500 Mo
0.000 0.000 0.500 F
0.000 0.500 0.000 F
0.500 0.000 0.000 F
```

Properties
Raw formation energy in kJ/mol of atoms: -57
DOS(E_F) in states/eV per atom: 2.230
ρ in g/cm3: 3.6
Total magnetization in Bohr magnetons per cell: 4.8
SG: Pm-3m, No. 221

---

(10)
VASP calculation (SCAN) on a PBEsol-optimized structure of Y3AsW.

POSCAR file:
```
Y3AsW
1.0
5.249 0.000 0.000
0.000 5.249 0.000
0.000 0.000 5.249
Y As W
3 1 1
Direct
0.000 0.000 0.500 Y
0.000 0.500 0.000 Y
0.500 0.000 0.000 Y
0.500 0.500 0.500 As
0.000 0.000 0.000 W
```

Properties
DOS(E_F) in states/eV per atom: 0.809
ρ in g/cm3: 6.0
Total magnetization in Bohr magnetons per cell: 0.0
Formation enthalpy at 0 K in eV per atom: 0.4412
SG: Pm-3m, No. 221

---

(11)
VASP calculation (SCAN) on a PBEsol-optimized structure of Hg3GeRu.

POSCAR file:
```
Hg3GeRu
1.0
5.093 0.000 0.000
0.000 5.093 0.000
0.000 0.000 5.093
Hg Ge Ru
3 1 1
Direct
0.000 0.000 0.500 Hg
0.000 0.500 0.000 Hg
0.500 0.000 0.000 Hg
0.500 0.500 0.500 Ge
0.000 0.000 0.000 Ru
```

Properties
DOS(E_F) in states/eV per atom: 0.604
ρ in g/cm3: 9.7
Total magnetization in Bohr magnetons per cell: 1.5
Formation enthalpy at 0 K in eV per atom: 0.8904
SG: Pm-3m, No. 221

---

(12)
VASP calculation (SCAN) on a PBEsol-optimized structure of MoIrAu2.

POSCAR file:
```
MoIrAu2
1.0
1.393 0.804 9.391
-1.393 0.804 9.391
0.000 -1.609 9.391
Mo Ir Au
1 1 2
Direct
0.000 0.000 0.000 Mo
0.260 0.260 0.260 Ir
0.507 0.507 0.507 Au
0.752 0.752 0.752 Au
```

Properties
DOS(E_F) in states/eV per atom: 0.357
ρ in g/cm3: 17.9
Total magnetization in Bohr magnetons per cell: 0.0
Formation enthalpy at 0 K in eV per atom: 0.0135
SG: R3m, No. 160

---

- The highest ρ belongs to which entry?
  MoIrAu2